# 1
Computed, not measured: a relaxed structure of Pu2AsBr2 at the GGA-PBE level of DFT.

DOS at the Fermi energy ... 4.441 states/eV/atom
Total energy ... -43.26 eV for the cell shown
E_form (uncorrected) ... -127.4 kJ/mol of atoms
Size of the total moment ... 2.200 μB/atom
Density ... 7.65 g/cm3

Structure (POSCAR):
```
Pu2AsBr2
1.0
2.095 1.210 10.307
-2.095 1.210 10.307
0.000 -2.420 10.307
Pu As Br
2 1 2
Direct
0.113 0.113 0.113
0.887 0.887 0.887
0.500 0.500 0.500
0.276 0.276 0.276
0.724 0.724 0.724
```

# 2
Computed, not measured: a relaxed structure of AlCrSe2 at the GGA-PBE level of DFT.

DOS at the Fermi energy ... 0.324 states/eV/atom
Energy above the lowest structure with this stoichiometry ... 422 meV/atom
Total energy ... -20.18 eV for the cell shown
E_form (uncorrected) ... 3.7 kJ/mol of atoms
Size of the total moment ... 0.764 μB/atom
Density ... 5.27 g/cm3

Structure (POSCAR):
```
AlCrSe2
1.0
-1.596 2.457 4.756
1.596 -2.457 4.756
1.596 2.457 -4.756
Al Cr Se
1 1 2
Direct
0.000 0.000 0.000
0.267 0.767 0.500
0.476 0.476 0.000
0.774 0.274 0.500
```

# 3
Computed, not measured: a relaxed structure of Sm2ErPaSb5 at the GGA-PBE level of DFT.

DOS at the Fermi energy ... 0.668 states/eV/atom
Total energy ... -45.32 eV for the cell shown
E_form (uncorrected) ... -13.0 kJ/mol of atoms
Size of the total moment ... 0.000 μB/atom
Density ... 6.27 g/cm3

Structure (POSCAR):
```
Sm2ErPaSb5
1.0
5.475 0.000 0.000
0.000 5.475 0.000
0.000 0.000 11.562
Sm Er Pa Sb
2 1 1 5
Direct
0.000 0.000 0.225
0.000 0.000 0.775
0.500 0.500 0.500
0.500 0.500 0.000
0.000 0.000 0.500
0.000 0.500 0.000
0.500 0.000 0.000
0.500 0.500 0.255
0.500 0.500 0.745
```

# 4
Computed, not measured: a relaxed structure of AcAgBi2 at the GGA-PBE level of DFT.

DOS at the Fermi energy ... 0.609 states/eV/atom
Energy above the lowest structure with this stoichiometry ... 261 meV/atom
Total energy ... -15.92 eV for the cell shown
Formation energy from the elements ... -0.30 eV per atom
Size of the total moment ... 0.000 μB/atom
Density ... 9.79 g/cm3

Structure (POSCAR):
```
AcAgBi2
1.0
2.576 1.487 5.556
-2.576 1.487 5.556
0.000 -2.975 5.556
Ac Ag Bi
1 1 2
Direct
0.000 0.000 0.000
0.500 0.500 0.500
0.220 0.220 0.220
0.780 0.780 0.780
```

# 5
Computed, not measured: a relaxed structure of BeHgSeN2 at the GGA-PBE level of DFT.

DOS at the Fermi energy ... 0.339 states/eV/atom
Energy above the lowest structure with this stoichiometry ... 906 meV/atom
Total energy ... -13.58 eV for the cell shown
E_form (uncorrected) ... 204.3 kJ/mol of atoms
Size of the total moment ... 0.607 μB/atom
Density ... 5.02 g/cm3

Structure (POSCAR):
```
BeHgSeN2
1.0
4.049 0.000 0.000
0.000 4.049 0.000
0.000 0.000 6.384
Be Hg Se N
1 1 1 2
Direct
0.000 0.000 0.000
0.500 0.500 0.500
0.500 0.500 0.000
0.000 0.500 0.500
0.500 0.000 0.500
```

# 6
Computed, not measured: a relaxed structure of TiV3W3 at the GGA-PBE level of DFT.

DOS at the Fermi energy ... 1.456 states/eV/atom
Total energy ... -140.65 eV for the cell shown
Formation energy from the elements ... 0.54 eV per atom
Size of the total moment ... 0.000 μB/atom
Density ... 10.86 g/cm3

Structure (POSCAR):
```
TiV3W3
1.0
3.344 1.931 5.940
-3.344 1.931 5.940
0.000 -3.861 5.940
Ti V W
2 6 6
Direct
0.245 0.245 0.245
0.755 0.755 0.755
0.138 0.861 0.399
0.139 0.601 0.862
0.399 0.138 0.861
0.601 0.862 0.139
0.861 0.399 0.138
0.862 0.139 0.601
0.113 0.350 0.648
0.350 0.648 0.113
0.352 0.887 0.650
0.648 0.113 0.350
0.650 0.352 0.887
0.887 0.650 0.352
```

# 7
Computed, not measured: a relaxed structure of USbBr at the GGA-PBE level of DFT.

DOS at the Fermi energy ... 2.819 states/eV/atom
Total energy ... -18.02 eV for the cell shown
E_form (uncorrected) ... -30.1 kJ/mol of atoms
Size of the total moment ... 0.808 μB/atom
Density ... 9.08 g/cm3

Structure (POSCAR):
```
USbBr
1.0
4.988 0.000 0.000
-2.494 4.320 0.000
0.000 0.000 3.732
U Sb Br
1 1 1
Direct
0.000 0.000 0.000
0.667 0.333 0.500
0.333 0.667 0.000
```

# 8
Computed, not measured: a relaxed structure of Cs5NaCl at the GGA-PBE level of DFT.

DOS at the Fermi energy ... 0.705 states/eV/atom
Total energy ... -22.02 eV for the cell shown
E_form (uncorrected) ... -49.3 kJ/mol of atoms
Size of the total moment ... 0.000 μB/atom
Density ... 2.08 g/cm3

Structure (POSCAR):
```
Cs5NaCl
1.0
5.976 -7.744 0.000
5.976 7.744 0.000
-3.543 0.000 12.450
Cs Na Cl
10 2 2
Direct
0.080 0.920 0.750
0.090 0.678 0.392
0.231 0.368 0.030
0.322 0.910 0.108
0.368 0.231 0.530
0.632 0.769 0.470
0.678 0.090 0.892
0.769 0.632 0.970
0.910 0.322 0.608
0.920 0.080 0.250
0.363 0.637 0.750
0.637 0.363 0.250
0.000 0.000 0.000
0.000 0.000 0.500
```

# 9
Computed, not measured: a relaxed structure of HoErGaCo at the GGA-PBE level of DFT.

DOS at the Fermi energy ... 0.685 states/eV/atom
Energy above the lowest structure with this stoichiometry ... 57 meV/atom
Total energy ... -20.65 eV for the cell shown
Formation energy from the elements ... -0.34 eV per atom
Size of the total moment ... 0.244 μB/atom
Density ... 9.31 g/cm3

Structure (POSCAR):
```
HoErGaCo
1.0
0.000 3.452 3.452
3.452 0.000 3.452
3.452 3.452 0.000
Ho Er Ga Co
1 1 1 1
Direct
0.000 0.000 0.000
0.500 0.500 0.500
0.250 0.250 0.250
0.750 0.750 0.750
```

# 10
Computed, not measured: a relaxed structure of Ac2TlSn4Pd3 at the GGA-PBE level of DFT.

DOS at the Fermi energy ... 0.376 states/eV/atom
Total energy ... -48.83 eV for the cell shown
Formation energy from the elements ... -0.67 eV per atom
Size of the total moment ... 0.000 μB/atom
Density ... 9.53 g/cm3

Structure (POSCAR):
```
Ac2TlSn4Pd3
1.0
4.698 0.000 0.000
0.000 4.698 0.000
0.000 0.000 11.463
Ac Tl Sn Pd
2 1 4 3
Direct
0.000 0.500 0.243
0.500 0.000 0.757
0.000 0.000 0.500
0.000 0.000 0.000
0.000 0.500 0.647
0.500 0.000 0.353
0.500 0.500 0.000
0.000 0.500 0.877
0.500 0.000 0.123
0.500 0.500 0.500
```

# 11
Computed, not measured: a relaxed structure of DyErMgAg at the GGA-PBE level of DFT.

DOS at the Fermi energy ... 0.973 states/eV/atom
Energy above the lowest structure with this stoichiometry ... 0 meV/atom
Total energy ... -14.36 eV for the cell shown
Formation energy from the elements ... -0.19 eV per atom
Size of the total moment ... 0.000 μB/atom
Density ... 7.65 g/cm3

Structure (POSCAR):
```
DyErMgAg
1.0
3.711 0.000 0.000
0.000 3.711 0.000
0.000 0.000 7.286
Dy Er Mg Ag
1 1 1 1
Direct
0.000 0.000 0.000
0.000 0.000 0.481
0.500 0.500 0.738
0.500 0.500 0.245
```

# 12
Computed, not measured: a relaxed structure of CdAs at the GGA-PBE level of DFT.

DOS at the Fermi energy ... 1.051 states/eV/atom
Energy above the lowest structure with this stoichiometry ... 387 meV/atom
Total energy ... -9.91 eV for the cell shown
Formation energy from the elements ... 0.31 eV per atom
Size of the total moment ... 0.000 μB/atom
Density ... 7.20 g/cm3

Structure (POSCAR):
```
CdAs
1.0
0.000 3.509 3.509
3.509 0.000 3.509
3.509 3.509 0.000
Cd As
2 2
Direct
0.125 0.125 0.125
0.875 0.875 0.875
0.375 0.375 0.375
0.625 0.625 0.625
```

# 13
Computed, not measured: a relaxed structure of ScAsN2 at the GGA-PBE level of DFT.

DOS at the Fermi energy ... 0.121 states/eV/atom
Total energy ... -57.35 eV for the cell shown
E_form (uncorrected) ... -25.1 kJ/mol of atoms
Size of the total moment ... 0.000 μB/atom
Density ... 4.09 g/cm3

Structure (POSCAR):
```
ScAsN2
1.0
-2.422 2.422 5.115
2.422 -2.422 5.115
2.422 2.422 -5.115
Sc As N
2 2 4
Direct
0.000 0.000 0.000
0.750 0.250 0.500
0.250 0.750 0.500
0.500 0.500 0.000
0.122 0.625 0.997
0.375 0.372 0.497
0.628 0.125 0.003
0.875 0.878 0.503
```

# 14
Computed, not measured: a relaxed structure of TlP3 at the GGA-PBE level of DFT.

DOS at the Fermi energy ... 0.332 states/eV/atom
Total energy ... -17.44 eV for the cell shown
Formation energy from the elements ... 0.29 eV per atom
Size of the total moment ... 0.000 μB/atom
Density ... 5.44 g/cm3

Structure (POSCAR):
```
TlP3
1.0
3.590 0.000 0.000
0.000 4.392 0.000
-0.618 0.000 5.755
Tl P
1 3
Direct
0.000 0.000 0.000
0.271 0.500 0.618
0.500 0.000 0.500
0.729 0.500 0.382
```

# 15
Computed, not measured: a relaxed structure of YIrW2 at the GGA-PBE level of DFT.

DOS at the Fermi energy ... 1.004 states/eV/atom
Energy above the lowest structure with this stoichiometry ... 488 meV/atom
Total energy ... -38.99 eV for the cell shown
Formation energy from the elements ... 0.56 eV per atom
Size of the total moment ... 0.000 μB/atom
Density ... 15.24 g/cm3

Structure (POSCAR):
```
YIrW2
1.0
4.481 0.000 0.000
0.000 4.481 0.000
0.000 0.000 3.522
Y Ir W
1 1 2
Direct
0.000 0.000 0.000
0.500 0.500 0.000
0.000 0.500 0.500
0.500 0.000 0.500
```

# 16
Computed, not measured: a relaxed structure of MgTlAu2O6 at the GGA-PBE level of DFT.

DOS at the Fermi energy ... 0.612 states/eV/atom
Total energy ... -93.08 eV for the cell shown
E_form (uncorrected) ... -60.5 kJ/mol of atoms
Size of the total moment ... 0.000 μB/atom
Density ... 8.74 g/cm3

Structure (POSCAR):
```
MgTlAu2O6
1.0
6.196 -3.568 0.000
6.196 3.568 0.000
-1.857 0.000 6.174
Mg Tl Au O
2 2 4 12
Direct
0.121 0.879 0.750
0.879 0.121 0.250
0.376 0.624 0.250
0.624 0.376 0.750
0.112 0.379 0.744
0.379 0.112 0.244
0.621 0.888 0.756
0.888 0.621 0.256
0.058 0.793 0.382
0.097 0.326 0.344
0.207 0.942 0.118
0.292 0.539 0.862
0.326 0.097 0.844
0.461 0.708 0.638
0.539 0.292 0.362
0.674 0.903 0.156
0.708 0.461 0.138
0.793 0.058 0.882
0.903 0.674 0.656
0.942 0.207 0.618
```

# 17
Computed, not measured: a relaxed structure of Cs2KSe2 at the GGA-PBE level of DFT.

DOS at the Fermi energy ... 0.304 states/eV/atom
Energy above the lowest structure with this stoichiometry ... 98 meV/atom
Total energy ... -27.20 eV for the cell shown
E_form (uncorrected) ... -73.8 kJ/mol of atoms
Size of the total moment ... 0.000 μB/atom
Density ... 3.74 g/cm3

Structure (POSCAR):
```
Cs2KSe2
1.0
10.232 0.000 0.000
0.000 10.232 0.000
0.000 0.000 3.928
Cs K Se
4 2 4
Direct
0.125 0.375 0.000
0.375 0.875 0.000
0.625 0.125 0.000
0.875 0.625 0.000
0.000 0.000 0.000
0.500 0.500 0.000
0.175 0.675 0.500
0.325 0.175 0.500
0.675 0.825 0.500
0.825 0.325 0.500
```

# 18
Computed, not measured: a relaxed structure of LuUNi4 at the GGA-PBE level of DFT.

DOS at the Fermi energy ... 1.560 states/eV/atom
Total energy ... -40.70 eV for the cell shown
Formation energy from the elements ... -0.29 eV per atom
Size of the total moment ... 0.400 μB/atom
Density ... 12.10 g/cm3

Structure (POSCAR):
```
LuUNi4
1.0
0.000 3.543 3.543
3.543 0.000 3.543
3.543 3.543 0.000
Lu U Ni
1 1 4
Direct
0.000 0.000 0.000
0.750 0.750 0.750
0.375 0.375 0.375
0.375 0.375 0.875
0.375 0.875 0.375
0.875 0.375 0.375
```

# 19
Computed, not measured: a relaxed structure of Np2ScAl9 at the GGA-PBE level of DFT.

DOS at the Fermi energy ... 1.371 states/eV/atom
Total energy ... -68.54 eV for the cell shown
Formation energy from the elements ... -0.22 eV per atom
Size of the total moment ... 0.670 μB/atom
Density ... 5.66 g/cm3

Structure (POSCAR):
```
Np2ScAl9
1.0
4.206 0.000 0.000
0.000 4.206 0.000
0.000 0.000 12.624
Np Sc Al
2 1 9
Direct
0.000 0.000 0.170
0.000 0.000 0.830
0.000 0.000 0.500
0.000 0.500 0.000
0.000 0.500 0.338
0.000 0.500 0.662
0.500 0.000 0.000
0.500 0.000 0.338
0.500 0.000 0.662
0.500 0.500 0.169
0.500 0.500 0.500
0.500 0.500 0.831
```

# 20
Computed, not measured: a relaxed structure of La2TbNdEr5 at the GGA-PBE level of DFT.

DOS at the Fermi energy ... 1.289 states/eV/atom
Total energy ... -79.63 eV for the cell shown
Formation energy from the elements ... 0.25 eV per atom
Size of the total moment ... 0.000 μB/atom
Density ... 8.02 g/cm3

Structure (POSCAR):
```
La2TbNdEr5
1.0
-4.310 4.310 7.902
4.310 -4.310 7.902
4.310 4.310 -7.902
La Tb Nd Er
4 2 2 10
Direct
0.118 0.618 0.736
0.382 0.118 0.500
0.618 0.882 0.500
0.882 0.382 0.264
0.250 0.250 0.000
0.750 0.750 0.000
0.250 0.750 0.500
0.750 0.250 0.500
0.000 0.000 0.000
0.073 0.144 0.500
0.144 0.644 0.072
0.356 0.427 0.500
0.427 0.927 0.072
0.500 0.500 0.000
0.573 0.073 0.928
0.644 0.573 0.500
0.856 0.356 0.928
0.927 0.856 0.500
```